{"formula": "AgHg2Pd6", "functional": "GGA-PBE", "state": "relaxed", "cell": [[4.582, 0.000, 0.000], [-2.291, 3.968, 0.000], [0.000, 0.000, 8.365]], "species": ["Ag", "Hg", "Hg", "Pd", "Pd", "Pd", "Pd", "Pd", "Pd"], "fractional_positions": [[0.000, 0.000, 0.000], [0.333, 0.667, 0.226], [0.667, 0.333, 0.774], [0.000, 0.000, 0.337], [0.000, 0.000, 0.663], [0.333, 0.667, 0.555], [0.333, 0.667, 0.888], [0.667, 0.333, 0.112], [0.667, 0.333, 0.445]], "dft_energy_ev_per_atom": -3.93, "e_form_ev_per_atom": -0.09, "spacegroup": "P-3m1"}

=====

{"formula": "Ag2HgPd2", "functional": "GGA-PBE", "state": "relaxed", "cell": [[10.488, 0.000, 0.000], [0.000, 5.829, 0.000], [-0.828, 0.000, 5.863]], "species": ["Ag", "Ag", "Ag", "Ag", "Ag", "Ag", "Ag", "Ag", "Hg", "Hg", "Hg", "Hg", "Pd", "Pd", "Pd", "Pd", "Pd", "Pd", "Pd", "Pd"], "fractional_positions": [[0.108, 0.023, 0.156], [0.108, 0.477, 0.656], [0.309, 0.250, 0.452], [0.309, 0.250, 0.952], [0.691, 0.750, 0.048], [0.691, 0.750, 0.548], [0.892, 0.523, 0.344], [0.892, 0.977, 0.844], [0.311, 0.748, 0.452], [0.311, 0.752, 0.952], [0.689, 0.248, 0.048], [0.689, 0.252, 0.548], [0.117, 0.516, 0.149], [0.117, 0.984, 0.649], [0.499, 0.000, 0.750], [0.499, 0.500, 0.250], [0.501, 0.000, 0.250], [0.501, 0.500, 0.750], [0.883, 0.016, 0.351], [0.883, 0.484, 0.851]], "dft_energy_ev_per_atom": -3.29, "e_form_ev_per_atom": -0.01, "spacegroup": "P2_1/c"}

=====

{"formula": "Ag4HgPd", "functional": "GGA-PBE", "state": "relaxed", "cell": [[5.122, 0.000, 0.000], [0.000, 5.853, 0.000], [-1.754, 0.000, 7.220]], "species": ["Ag", "Ag", "Ag", "Ag", "Ag", "Ag", "Ag", "Ag", "Hg", "Hg", "Pd", "Pd"], "fractional_positions": [[0.000, 0.000, 0.000], [0.000, 0.500, 0.000], [0.214, 0.002, 0.669], [0.214, 0.498, 0.669], [0.497, 0.750, 0.006], [0.503, 0.250, 0.994], [0.786, 0.502, 0.331], [0.786, 0.998, 0.331], [0.294, 0.250, 0.337], [0.706, 0.750, 0.663], [0.279, 0.750, 0.331], [0.721, 0.250, 0.669]], "dft_energy_ev_per_atom": -2.83, "e_form_ev_per_atom": -0.01, "spacegroup": "P2_1/m"}

=====

{"formula": "Ag4Hg2Pd5", "functional": "GGA-PBE", "state": "relaxed", "cell": [[6.992, 0.000, 0.000], [0.000, 18.669, 0.000], [0.000, 0.000, 2.986]], "species": ["Ag", "Ag", "Ag", "Ag", "Ag", "Ag", "Ag", "Ag", "Hg", "Hg", "Hg", "Hg", "Pd", "Pd", "Pd", "Pd", "Pd", "Pd", "Pd", "Pd", "Pd", "Pd"], "fractional_positions": [[0.020, 0.129, 0.000], [0.173, 0.459, 0.000], [0.327, 0.959, 0.000], [0.480, 0.629, 0.000], [0.520, 0.371, 0.000], [0.673, 0.041, 0.000], [0.827, 0.541, 0.000], [0.980, 0.871, 0.000], [0.128, 0.720, 0.000], [0.372, 0.220, 0.000], [0.628, 0.780, 0.000], [0.872, 0.280, 0.000], [0.000, 0.000, 0.500], [0.153, 0.588, 0.500], [0.193, 0.329, 0.500], [0.307, 0.829, 0.500], [0.347, 0.088, 0.500], [0.500, 0.500, 0.500], [0.653, 0.912, 0.500], [0.693, 0.171, 0.500], [0.807, 0.671, 0.500], [0.847, 0.412, 0.500]], "dft_energy_ev_per_atom": -3.51, "e_form_ev_per_atom": -0.06, "spacegroup": "Pbam"}

=====

{"formula": "Ag2Hg2Pd7", "functional": "GGA-PBE", "state": "relaxed", "cell": [[-1.951, 6.014, 4.140], [1.951, -6.014, 4.140], [1.951, 6.014, -4.140]], "species": ["Ag", "Ag", "Hg", "Hg", "Pd", "Pd", "Pd", "Pd", "Pd", "Pd", "Pd"], "fractional_positions": [[0.000, 0.000, 0.000], [0.754, 0.254, 0.500], [0.343, 0.997, 0.346], [0.651, 0.997, 0.654], [0.080, 0.246, 0.834], [0.169, 0.499, 0.671], [0.244, 0.744, 0.500], [0.411, 0.246, 0.166], [0.581, 0.751, 0.830], [0.828, 0.499, 0.329], [0.921, 0.751, 0.170]], "dft_energy_ev_per_atom": -3.91, "e_form_ev_per_atom": -0.03, "spacegroup": "Imm2"}

=====

{"formula": "AgHgPd6", "functional": "GGA-PBE", "state": "relaxed", "cell": [[5.685, 0.000, 0.000], [-2.843, 4.924, 0.000], [0.000, 0.000, 4.675]], "species": ["Ag", "Hg", "Pd", "Pd", "Pd", "Pd", "Pd", "Pd"], "fractional_positions": [[0.000, 0.000, 0.000], [0.333, 0.667, 0.500], [0.335, 0.168, 0.500], [0.502, 0.005, 0.000], [0.502, 0.498, 0.000], [0.832, 0.168, 0.500], [0.832, 0.665, 0.500], [0.995, 0.498, 0.000]], "dft_energy_ev_per_atom": -4.33, "e_form_ev_per_atom": -0.04, "spacegroup": "P-6m2"}

=====

{"formula": "Ag2HgPd2", "functional": "GGA-PBE", "state": "relaxed", "cell": [[-1.871, 1.871, 6.987], [1.871, -1.871, 6.987], [1.871, 1.871, -6.987]], "species": ["Ag", "Ag", "Hg", "Pd", "Pd"], "fractional_positions": [[0.100, 0.100, 0.000], [0.900, 0.900, 0.000], [0.500, 0.500, 0.000], [0.250, 0.750, 0.500], [0.750, 0.250, 0.500]], "dft_energy_ev_per_atom": -3.07, "e_form_ev_per_atom": 0.21, "spacegroup": "I4/mmm"}

=====

{"formula": "AgHg3Pd6", "functional": "GGA-PBE", "state": "relaxed", "cell": [[7.715, 0.000, 0.000], [0.000, 4.721, 0.000], [-3.572, 0.000, 9.471]], "species": ["Ag", "Ag", "Hg", "Hg", "Hg", "Hg", "Hg", "Hg", "Pd", "Pd", "Pd", "Pd", "Pd", "Pd", "Pd", "Pd", "Pd", "Pd", "Pd", "Pd"], "fractional_positions": [[0.042, 0.250, 0.423], [0.958, 0.750, 0.577], [0.227, 0.250, 0.017], [0.353, 0.750, 0.780], [0.445, 0.250, 0.617], [0.555, 0.750, 0.383], [0.647, 0.250, 0.220], [0.773, 0.750, 0.983], [0.057, 0.750, 0.875], [0.136, 0.250, 0.720], [0.161, 0.750, 0.181], [0.257, 0.750, 0.477], [0.335, 0.250, 0.317], [0.461, 0.750, 0.079], [0.539, 0.250, 0.921], [0.665, 0.750, 0.683], [0.743, 0.250, 0.523], [0.839, 0.250, 0.819], [0.864, 0.750, 0.280], [0.943, 0.250, 0.125]], "dft_energy_ev_per_atom": -3.61, "e_form_ev_per_atom": -0.12, "spacegroup": "P2_1/m"}